Model w:
This record from Alexandria describes a relaxed structure of FePtSN2. The functional is GGA-PBE.

Geometry as CIF:
```
data_FePtSN2
_cell_length_a 3.472
_cell_length_b 3.472
_cell_length_c 5.730
_cell_angle_alpha 90.00
_cell_angle_beta 90.00
_cell_angle_gamma 90.00
_space_group_name_H-M_alt 'P 4/m m m'
_space_group_IT_number 123
_space_group_name_Hall '-P 4 2'
loop_
_atom_site_label
_atom_site_type_symbol
_atom_site_fract_x
_atom_site_fract_y
_atom_site_fract_z
Fe1 Fe 0.000 0.000 0.000
Pt1 Pt 0.500 0.500 0.500
S1 S 0.000 0.000 0.500
N1 N 0.000 0.500 0.000
```


Model x:
This record from Alexandria describes a relaxed structure of FePtSN2. The functional is GGA-PBE.

Geometry as CIF:
```
data_FePtSN2
_cell_length_a 3.671
_cell_length_b 3.671
_cell_length_c 8.161
_cell_angle_alpha 90.00
_cell_angle_beta 90.00
_cell_angle_gamma 90.00
_space_group_name_H-M_alt 'P 4/m m m'
_space_group_IT_number 123
_space_group_name_Hall '-P 4 2'
loop_
_atom_site_label
_atom_site_type_symbol
_atom_site_fract_x
_atom_site_fract_y
_atom_site_fract_z
Fe1 Fe 0.000 0.000 0.000
Pt1 Pt 0.500 0.500 0.500
S1 S 0.500 0.500 0.000
N1 N 0.000 0.500 0.500
```


Last place for stability: model x


Model w:
This record from Alexandria describes a relaxed structure of FePtSeN2. The functional is GGA-PBE.

Geometry as CIF:
```
data_FePtSeN2
_cell_length_a 3.701
_cell_length_b 3.701
_cell_length_c 8.426
_cell_angle_alpha 90.00
_cell_angle_beta 90.00
_cell_angle_gamma 90.00
_space_group_name_H-M_alt 'P 4/m m m'
_space_group_IT_number 123
_space_group_name_Hall '-P 4 2'
loop_
_atom_site_label
_atom_site_type_symbol
_atom_site_fract_x
_atom_site_fract_y
_atom_site_fract_z
Fe1 Fe 0.000 0.000 0.000
Pt1 Pt 0.500 0.500 0.500
Se1 Se 0.500 0.500 0.000
N1 N 0.000 0.500 0.500
```


Model x:
This record from Alexandria describes a relaxed structure of FePtSeN2. The functional is GGA-PBE.

Geometry as CIF:
```
data_FePtSeN2
_cell_length_a 3.539
_cell_length_b 3.539
_cell_length_c 5.783
_cell_angle_alpha 90.00
_cell_angle_beta 90.00
_cell_angle_gamma 90.00
_space_group_name_H-M_alt 'P 4/m m m'
_space_group_IT_number 123
_space_group_name_Hall '-P 4 2'
loop_
_atom_site_label
_atom_site_type_symbol
_atom_site_fract_x
_atom_site_fract_y
_atom_site_fract_z
Fe1 Fe 0.000 0.000 0.000
Pt1 Pt 0.500 0.500 0.500
Se1 Se 0.000 0.000 0.500
N1 N 0.000 0.500 0.000
```


Last place for stability: model w


Model w:
This record from Alexandria describes a relaxed structure of PuFeN. The functional is GGA-PBE.

Geometry as CIF:
```
data_PuFeN
_cell_length_a 3.145
_cell_length_b 3.145
_cell_length_c 8.421
_cell_angle_alpha 90.00
_cell_angle_beta 90.00
_cell_angle_gamma 90.00
_space_group_name_H-M_alt 'I 4 m m'
_space_group_IT_number 107
_space_group_name_Hall 'I 4 -2'
loop_
_atom_site_label
_atom_site_type_symbol
_atom_site_fract_x
_atom_site_fract_y
_atom_site_fract_z
Pu1 Pu 0.000 0.000 0.000
Fe1 Fe 0.000 0.000 0.270
N1 N 0.000 0.000 0.750
```


Model x:
This record from Alexandria describes a relaxed structure of PuFeN. The functional is GGA-PBE.

Geometry as CIF:
```
data_PuFeN
_cell_length_a 3.389
_cell_length_b 3.389
_cell_length_c 7.474
_cell_angle_alpha 90.00
_cell_angle_beta 90.00
_cell_angle_gamma 90.00
_space_group_name_H-M_alt 'P 4/n m m'
_space_group_IT_number 129
loop_
_space_group_symop_operation_xyz
'x,y,z'
'-x,-y,-z'
'-y+1/2,x,z'
'y+1/2,-x,-z'
'-x+1/2,-y+1/2,z'
'x+1/2,y+1/2,-z'
'y,-x+1/2,z'
'-y,x+1/2,-z'
'x+1/2,-y,-z'
'-x+1/2,y,z'
'-y,-x,-z'
'y,x,z'
'-x,y+1/2,-z'
'x,-y+1/2,z'
'y+1/2,x+1/2,-z'
'-y+1/2,-x+1/2,z'
loop_
_atom_site_label
_atom_site_type_symbol
_atom_site_fract_x
_atom_site_fract_y
_atom_site_fract_z
Pu1 Pu 0.250 0.250 0.169
Fe1 Fe 0.250 0.250 0.563
N1 N 0.250 0.250 0.845
```


Last place for stability: model w